1.
# MoIN2Cl (meta-GGA SCAN, single point on PBEsol structure)
data_MoIN2Cl
_chemical_formula_sum 'Mo1 I1 N2 Cl1'
_cell_length_a 3.920
_cell_length_b 3.920
_cell_length_c 5.641
_cell_angle_alpha 90.00
_cell_angle_beta 90.00
_cell_angle_gamma 90.00
_symmetry_space_group_name_H-M 'P 4/m m m'
_symmetry_Int_Tables_number 123
_symmetry_space_group_name_Hall '-P 4 2'
loop_
_atom_site_label
_atom_site_fract_x
_atom_site_fract_y
_atom_site_fract_z
_atom_site_occupancy
Mo1 0.000 0.000 0.000 1
I1 0.000 0.000 0.500 1
N1 0.000 0.500 0.000 1
Cl1 0.500 0.500 0.500 1
# DOS(E_F): 0.4956 states/eV/atom
# Total energy: -19.013 eV per atom
# Crystal system: tetragonal
# Formation energy (no corrections): 0.6249 eV/atom


2.
# MoI2NCl (meta-GGA SCAN, single point on PBEsol structure)
data_MoI2NCl
_chemical_formula_sum 'Mo1 I2 N1 Cl1'
_cell_length_a 6.146
_cell_length_b 6.146
_cell_length_c 3.328
_cell_angle_alpha 90.00
_cell_angle_beta 90.00
_cell_angle_gamma 90.00
_symmetry_space_group_name_H-M 'P 4/m m m'
_symmetry_Int_Tables_number 123
_symmetry_space_group_name_Hall '-P 4 2'
loop_
_atom_site_label
_atom_site_fract_x
_atom_site_fract_y
_atom_site_fract_z
_atom_site_occupancy
Mo1 0.000 0.000 0.000 1
I1 0.000 0.500 0.500 1
N1 0.500 0.500 0.000 1
Cl1 0.500 0.500 0.500 1
# DOS(E_F): 0.6641 states/eV/atom
# Total energy: -23.393 eV per atom
# Crystal system: tetragonal
# Formation energy (no corrections): 1.7344 eV/atom


3.
# MoIClO2 (meta-GGA SCAN, single point on PBEsol structure)
data_MoIClO2
_chemical_formula_sum 'Mo1 I1 Cl1 O2'
_cell_length_a 3.885
_cell_length_b 3.885
_cell_length_c 5.626
_cell_angle_alpha 90.00
_cell_angle_beta 90.00
_cell_angle_gamma 90.00
_symmetry_space_group_name_H-M 'P 4/m m m'
_symmetry_Int_Tables_number 123
_symmetry_space_group_name_Hall '-P 4 2'
loop_
_atom_site_label
_atom_site_fract_x
_atom_site_fract_y
_atom_site_fract_z
_atom_site_occupancy
Mo1 0.000 0.000 0.000 1
I1 0.000 0.000 0.500 1
Cl1 0.500 0.500 0.500 1
O1 0.000 0.500 0.000 1
# DOS(E_F): 0.4627 states/eV/atom
# Total energy: -19.219 eV per atom
# Crystal system: tetragonal
# Formation energy (no corrections): -0.8060 eV/atom


4.
# Sb2MoICl (meta-GGA SCAN, single point on PBEsol structure)
data_Sb2MoICl
_chemical_formula_sum 'Sb2 Mo1 I1 Cl1'
_cell_length_a 5.162
_cell_length_b 5.162
_cell_length_c 5.338
_cell_angle_alpha 90.00
_cell_angle_beta 90.00
_cell_angle_gamma 90.00
_symmetry_space_group_name_H-M 'P 4/m m m'
_symmetry_Int_Tables_number 123
_symmetry_space_group_name_Hall '-P 4 2'
loop_
_atom_site_label
_atom_site_fract_x
_atom_site_fract_y
_atom_site_fract_z
_atom_site_occupancy
Sb1 0.000 0.500 0.000 1
Mo1 0.000 0.000 0.000 1
I1 0.000 0.000 0.500 1
Cl1 0.500 0.500 0.500 1
# DOS(E_F): 0.8840 states/eV/atom
# Total energy: -30.526 eV per atom
# Crystal system: tetragonal
# Formation energy (no corrections): 0.2989 eV/atom


5.
# TeMoI2Cl (meta-GGA SCAN, single point on PBEsol structure)
data_TeMoI2Cl
_chemical_formula_sum 'Te1 Mo1 I2 Cl1'
_cell_length_a 5.401
_cell_length_b 5.401
_cell_length_c 4.607
_cell_angle_alpha 90.00
_cell_angle_beta 90.00
_cell_angle_gamma 90.00
_symmetry_space_group_name_H-M 'P 4/m m m'
_symmetry_Int_Tables_number 123
_symmetry_space_group_name_Hall '-P 4 2'
loop_
_atom_site_label
_atom_site_fract_x
_atom_site_fract_y
_atom_site_fract_z
_atom_site_occupancy
Te1 0.000 0.000 0.000 1
Mo1 0.500 0.500 0.500 1
I1 0.000 0.500 0.500 1
Cl1 0.500 0.500 0.000 1
# DOS(E_F): 0.9018 states/eV/atom
# Total energy: -30.382 eV per atom
# Crystal system: tetragonal
# Formation energy (no corrections): 0.3372 eV/atom


6.
# NbI2NCl (meta-GGA SCAN, single point on PBEsol structure)
data_NbI2NCl
_chemical_formula_sum 'Nb1 I2 N1 Cl1'
_cell_length_a 5.852
_cell_length_b 5.852
_cell_length_c 3.393
_cell_angle_alpha 90.00
_cell_angle_beta 90.00
_cell_angle_gamma 90.00
_symmetry_space_group_name_H-M 'P 4/m m m'
_symmetry_Int_Tables_number 123
_symmetry_space_group_name_Hall '-P 4 2'
loop_
_atom_site_label
_atom_site_fract_x
_atom_site_fract_y
_atom_site_fract_z
_atom_site_occupancy
Nb1 0.000 0.000 0.000 1
I1 0.000 0.500 0.500 1
N1 0.500 0.500 0.000 1
Cl1 0.500 0.500 0.500 1
# DOS(E_F): 0.8182 states/eV/atom
# Total energy: -23.187 eV per atom
# Crystal system: tetragonal
# Formation energy (no corrections): 1.5889 eV/atom


7.
# ReIN2Cl (meta-GGA SCAN, single point on PBEsol structure)
data_ReIN2Cl
_chemical_formula_sum 'Re1 I1 N2 Cl1'
_cell_length_a 3.883
_cell_length_b 3.883
_cell_length_c 5.671
_cell_angle_alpha 90.00
_cell_angle_beta 90.00
_cell_angle_gamma 90.00
_symmetry_space_group_name_H-M 'P 4/m m m'
_symmetry_Int_Tables_number 123
_symmetry_space_group_name_Hall '-P 4 2'
loop_
_atom_site_label
_atom_site_fract_x
_atom_site_fract_y
_atom_site_fract_z
_atom_site_occupancy
Re1 0.000 0.000 0.000 1
I1 0.000 0.000 0.500 1
N1 0.000 0.500 0.000 1
Cl1 0.500 0.500 0.500 1
# DOS(E_F): 0.4531 states/eV/atom
# Total energy: -26.170 eV per atom
# Crystal system: tetragonal
# Formation energy (no corrections): 0.7095 eV/atom


8.
# ReI2NCl (meta-GGA SCAN, single point on PBEsol structure)
data_ReI2NCl
_chemical_formula_sum 'Re1 I2 N1 Cl1'
_cell_length_a 5.464
_cell_length_b 5.464
_cell_length_c 3.740
_cell_angle_alpha 90.00
_cell_angle_beta 90.00
_cell_angle_gamma 90.00
_symmetry_space_group_name_H-M 'P 4/m m m'
_symmetry_Int_Tables_number 123
_symmetry_space_group_name_Hall '-P 4 2'
loop_
_atom_site_label
_atom_site_fract_x
_atom_site_fract_y
_atom_site_fract_z
_atom_site_occupancy
Re1 0.000 0.000 0.000 1
I1 0.000 0.500 0.000 1
N1 0.000 0.000 0.500 1
Cl1 0.500 0.500 0.500 1
# DOS(E_F): 0.5691 states/eV/atom
# Total energy: -31.933 eV per atom
# Crystal system: tetragonal
# Formation energy (no corrections): 0.4374 eV/atom